This record from Alexandria describes a geometry-optimized BeReW3 structure. The functional is PBE.

```
BeReW3
1.0
4.7462 0.0000 0.0000
0.0000 4.7462 0.0000
0.0000 0.0000 4.7462
W Re Be
3 1 1
direct
0.0000 0.0000 0.5000 W
0.0000 0.5000 0.0000 W
0.5000 0.0000 0.0000 W
0.0000 0.0000 0.0000 Re
0.5000 0.5000 0.5000 Be
```

Calculated values
For the density of states at the Fermi level, the calculation gives 1.07 states/eV/atom. Its total energy is -8.67 eV/atom. The energy above the lowest structure with this stoichiometry is 145.0 kJ/mol of atoms. The density is 11.598 g cm⁻³.